Ho2ZrZn, relaxed, DFT PBE-GGA; E_tot = -4.756 eV/atom; energy relative to the lowest polymorph listed for this composition = 122 meV per atom; DOS at the Fermi energy = 5.9 states/eV/cell; calculated formation energy = -0.012 eV/atom; ρ = 7.9 Mg/m³
1.0
1.7318 0.9999 9.9063
-1.7318 0.9999 9.9063
0.0000 -1.9997 9.9063
Ho Zr Zn
2 1 1
direct
0.0000 0.0000 0.0000
0.1775 0.1775 0.1775
0.7555 0.7555 0.7555
0.5892 0.5892 0.5892